#i
The following is a PBE-GGA calculation of a geometry-optimized KMg3Tc structure, from Alexandria via LeMat-Bulk.

DOS(E_F), states/eV per atom: 1.18
Symmetry: No. 221
Crystal system: cubic
Volume, Å³ per cell: 143

a b c (Å): 5.229 5.229 5.229
angles (deg): 90.00 90.00 90.00
Each line ends with the local moment (μB).
Fractional positions:
Mg 0.000 0.500 0.000  0.00
Mg 0.000 0.000 0.500  -0.01
Mg 0.500 0.000 0.000  0.00
K 0.500 0.500 0.500  0.00
Tc 0.000 0.000 0.000  0.50

***

#ii
The following is a PBE-GGA calculation of a geometry-optimized KMg3Tc structure, from Alexandria via LeMat-Bulk.

DOS(E_F), states/eV per atom: 1.14
Symmetry: No. 221
Crystal system: cubic
Volume, Å³ per cell: 178

a b c (Å): 5.623 5.623 5.623
angles (deg): 90.00 90.00 90.00
Each line ends with the local moment (μB).
Fractional positions:
Mg 0.000 0.500 0.000  0.00
Mg 0.000 0.000 0.500  -0.01
Mg 0.500 0.000 0.000  0.00
K 0.000 0.000 0.000  0.01
Tc 0.500 0.500 0.500  -3.49

***

Energies relative to the minimum, kJ/mol of atoms: #i 0.0; #ii 129.9